[1]
# PBE Na2Er2PaS6, relaxed
data_Na2Er2PaS6
_cell_length_a 6.8869
_cell_length_b 11.9082
_cell_length_c 7.1252
_cell_angle_alpha 90.00
_cell_angle_beta 108.83
_cell_angle_gamma 90.00
_symmetry_space_group_name_H-M 'C 1 2/m 1'
_symmetry_Int_Tables_number 12
loop_
_symmetry_equiv_pos_as_xyz
'x,y,z'
'-x,-y,-z'
'-x,y,-z'
'x,-y,z'
'x+1/2,y+1/2,z'
'-x+1/2,-y+1/2,-z'
'-x+1/2,y+1/2,-z'
'x+1/2,-y+1/2,z'
loop_
_atom_site_label
_atom_site_type_symbol
_atom_site_fract_x
_atom_site_fract_y
_atom_site_fract_z
_atom_site_occupancy
Na1 Na 0.0000 0.1684 0.0000 1
Er1 Er 0.0000 0.3342 0.5000 1
Pa1 Pa 0.0000 0.0000 0.5000 1
S1 S 0.2375 0.1679 0.7200 1
S2 S 0.2441 0.5000 0.7201 1
# crystal system = monoclinic
# E_form (uncorrected) = -1.765 eV/atom
# total DFT energy (no corrections) = -5.949 eV per atom

***

[2]
# PBE Cu2HgRh2, relaxed
data_Cu2HgRh2
_cell_length_a 7.0983
_cell_length_b 7.0983
_cell_length_c 2.9729
_cell_angle_alpha 90.00
_cell_angle_beta 90.00
_cell_angle_gamma 90.00
_symmetry_space_group_name_H-M 'P 4/m b m'
_symmetry_Int_Tables_number 127
_symmetry_space_group_name_Hall '-P 4 2ab'
loop_
_atom_site_label
_atom_site_type_symbol
_atom_site_fract_x
_atom_site_fract_y
_atom_site_fract_z
_atom_site_occupancy
Cu1 Cu 0.1273 0.3727 0.0000 1
Hg1 Hg 0.0000 0.0000 0.0000 1
Rh1 Rh 0.1669 0.6669 0.5000 1
# crystal system = tetragonal
# relative energy among the computed polymorphs = 3 meV per atom
# formation energy from the elements = 22.5 kJ/mol of atoms
# total DFT energy (no corrections) = -4.407 eV per atom

***

[3]
# PBE GdYInNi, relaxed
data_GdYInNi
_cell_length_a 7.2539
_cell_length_b 7.2539
_cell_length_c 7.2539
_cell_angle_alpha 90.00
_cell_angle_beta 90.00
_cell_angle_gamma 90.00
_symmetry_space_group_name_H-M 'F -4 3 m'
_symmetry_Int_Tables_number 216
_symmetry_space_group_name_Hall 'F -4 2 3'
loop_
_atom_site_label
_atom_site_type_symbol
_atom_site_fract_x
_atom_site_fract_y
_atom_site_fract_z
_atom_site_occupancy
Gd1 Gd 0.0000 0.0000 0.0000 1
Y1 Y 0.0000 0.0000 0.5000 1
In1 In 0.2500 0.2500 0.2500 1
Ni1 Ni 0.2500 0.2500 0.7500 1
# crystal system = cubic
# formation energy from the elements = -30.0 kJ/mol of atoms
# total DFT energy (no corrections) = -7.577 eV per atom

***

[4]
# PBE Te2PdI8, relaxed
data_Te2PdI8
_cell_length_a 15.7542
_cell_length_b 9.5399
_cell_length_c 7.6774
_cell_angle_alpha 90.00
_cell_angle_beta 94.46
_cell_angle_gamma 90.00
_symmetry_space_group_name_H-M 'C 1 2/m 1'
_symmetry_Int_Tables_number 12
loop_
_symmetry_equiv_pos_as_xyz
'x,y,z'
'-x,-y,-z'
'-x,y,-z'
'x,-y,z'
'x+1/2,y+1/2,z'
'-x+1/2,-y+1/2,-z'
'-x+1/2,y+1/2,-z'
'x+1/2,-y+1/2,z'
loop_
_atom_site_label
_atom_site_type_symbol
_atom_site_fract_x
_atom_site_fract_y
_atom_site_fract_z
_atom_site_occupancy
Te1 Te 0.2238 0.0000 0.1708 1
Pd1 Pd 0.0000 0.0000 0.5000 1
I1 I 0.0905 0.2007 0.3725 1
I2 I 0.1126 0.5000 0.9484 1
I3 I 0.1293 0.0000 0.8558 1
# crystal system = monoclinic
# E_form (uncorrected) = -0.037 eV/atom
# total DFT energy (no corrections) = -2.208 eV per atom

***

[5]
# PBE Ba2MgTe, relaxed
data_Ba2MgTe
_cell_length_a 4.4582
_cell_length_b 5.5826
_cell_length_c 12.6438
_cell_angle_alpha 90.00
_cell_angle_beta 90.00
_cell_angle_gamma 90.00
_symmetry_space_group_name_H-M 'I m m 2'
_symmetry_Int_Tables_number 44
loop_
_symmetry_equiv_pos_as_xyz
'x,y,z'
'-x,-y,z'
'-x,y,z'
'x,-y,z'
'x+1/2,y+1/2,z+1/2'
'-x+1/2,-y+1/2,z+1/2'
'-x+1/2,y+1/2,z+1/2'
'x+1/2,-y+1/2,z+1/2'
loop_
_atom_site_label
_atom_site_type_symbol
_atom_site_fract_x
_atom_site_fract_y
_atom_site_fract_z
_atom_site_occupancy
Ba1 Ba 0.0000 0.0000 0.0000 1
Ba2 Ba 0.0000 0.5000 0.2163 1
Mg1 Mg 0.0000 0.0000 0.4408 1
Te1 Te 0.0000 0.5000 0.7602 1
# crystal system = orthorhombic
# E_form (uncorrected) = -0.667 eV/atom
# relative energy among the computed polymorphs = 118 meV per atom
# total DFT energy (no corrections) = -2.813 eV per atom

***

[6]
# PBE Nd8Er5Tm, relaxed
data_Nd8Er5Tm
_cell_length_a 9.6986
_cell_length_b 9.6986
_cell_length_c 10.2494
_cell_angle_alpha 90.00
_cell_angle_beta 90.00
_cell_angle_gamma 90.00
_symmetry_space_group_name_H-M 'I -4'
_symmetry_Int_Tables_number 82
loop_
_symmetry_equiv_pos_as_xyz
'x,y,z'
'y,-x,-z'
'-x,-y,z'
'-y,x,-z'
'x+1/2,y+1/2,z+1/2'
'y+1/2,-x+1/2,-z+1/2'
'-x+1/2,-y+1/2,z+1/2'
'-y+1/2,x+1/2,-z+1/2'
loop_
_atom_site_label
_atom_site_type_symbol
_atom_site_fract_x
_atom_site_fract_y
_atom_site_fract_z
_atom_site_occupancy
Nd1 Nd 0.0680 0.1721 0.1569 1
Nd2 Nd 0.0895 0.3220 0.4969 1
Er1 Er 0.0000 0.5000 0.2500 1
Er2 Er 0.1079 0.2964 0.8241 1
Tm1 Tm 0.0000 0.0000 0.5000 1
# crystal system = tetragonal
# formation energy from the elements = 24.7 kJ/mol of atoms
# total DFT energy (no corrections) = -4.417 eV per atom